# 1
A plane-wave DFT calculation with PBE-GGA was carried out for a relaxed structure of ReBiO3.

extended XYZ file:
```
5
Lattice="3.989 0.000 0.000 0.000 3.989 0.000 0.000 0.000 3.989" Properties=species:S:1:pos:R:3 pbc="T T T"
Bi 1.994 1.994 1.994
O 0.000 0.000 1.994
O 0.000 1.994 0.000
O 1.994 0.000 0.000
Re 0.000 0.000 0.000
```

Computed properties:
- electronic total energy (eV/atom) = -7.029
- ΔE_f (raw) (eV per atom) = -0.7880

# 2
A plane-wave DFT calculation with PBE-GGA was carried out for a relaxed structure of ZnP2Pd7.

extended XYZ file:
```
10
Lattice="-1.227 1.581 -3.419 -3.723 0.038 1.354 3.884 8.127 4.659" Properties=species:S:1:pos:R:3 pbc="T T T"
Pd 0.505 7.887 1.170
Pd -0.742 7.115 3.557
P -1.995 3.852 0.202
P 0.929 5.894 2.392
Pd -1.157 4.487 2.490
Pd -1.571 1.859 1.424
Pd -0.324 2.630 -0.963
Pd 0.091 5.259 0.104
Pd -2.475 0.809 -1.032
Zn 0.000 0.000 0.000
```

Computed properties:
- electronic total energy (eV/atom) = -5.312

# 3
A plane-wave DFT calculation with PBE-GGA was carried out for a relaxed structure of Ca4La2Cu.

extended XYZ file:
```
7
Lattice="-4.378 3.276 -0.434 -1.371 -1.146 5.186 2.061 8.040 5.222" Properties=species:S:1:pos:R:3 pbc="T T T"
Ca 0.434 5.741 4.284
Ca -4.123 4.429 5.690
Ca -0.686 -0.573 2.593
La -2.099 7.288 6.856
Ca -2.189 1.638 -0.217
Cu 0.000 0.000 0.000
La -1.589 2.882 3.117
```

Computed properties:
- electronic total energy (eV/atom) = -2.833

# 4
A plane-wave DFT calculation with PBE-GGA was carried out for a relaxed structure of GdPaAgPb.

extended XYZ file:
```
4
Lattice="5.328 0.000 0.000 2.664 4.614 0.000 2.664 1.538 4.350" Properties=species:S:1:pos:R:3 pbc="T T T"
Gd 2.664 1.538 1.088
Pb 0.000 0.000 0.000
Ag 5.328 3.076 2.175
Pa 7.992 4.614 3.263
```

Computed properties:
- electronic total energy (eV/atom) = -7.535

# 5
A plane-wave DFT calculation with PBE-GGA was carried out for a relaxed structure of AlCr2OsBr.

extended XYZ file:
```
5
Lattice="4.814 0.000 0.000 0.000 4.737 0.000 0.000 0.000 4.814" Properties=species:S:1:pos:R:3 pbc="T T T"
Al 0.000 0.000 0.000
Cr 0.000 0.000 2.407
Br 0.000 2.369 0.000
Cr 2.407 0.000 0.000
Os 2.407 2.369 2.407
```

Computed properties:
- electronic total energy (eV/atom) = -5.166
- ΔE_f (raw) (eV per atom) = 2.0125

# 6
A plane-wave DFT calculation with PBE-GGA was carried out for a relaxed structure of UPa2Os.

extended XYZ file:
```
4
Lattice="-2.066 -2.147 0.969 3.247 -1.444 3.725 -2.106 3.461 3.177" Properties=species:S:1:pos:R:3 pbc="T T T"
U -1.033 -1.073 0.485
Pa -1.053 1.730 1.589
Os -0.462 -0.065 3.936
Pa 1.624 -0.722 1.863
```

Computed properties:
- electronic total energy (eV/atom) = -10.491
- E above lowest polymorph (meV/atom) = 0